DFT (PBE with a Hubbard U) results for crystalline TmHfMn2O6 at its relaxed geometry.

a = 5.3521 Å, b = 5.3611 Å, c = 5.7502 Å
α = 62.49°, β = 62.53°, γ = 60.15°
With the nearest neighbours (Å) after each atom.
Atoms (fractional coordinates):
Tm1 0.0000 0.0000 0.0000  6 O 2.19-2.33
Hf1 0.5094 0.5134 0.4623  6 O 2.06-2.14
Mn1 0.2043 0.2044 0.3875  6 O 2.01-2.05
Mn2 0.7221 0.7226 0.8310  6 O 2.12-2.36
O1 0.1258 0.8141 0.6515  2 Mn 2.05-2.12, 1 Hf 2.06
O2 0.3218 0.5732 0.1777  1 Mn 2.02, 1 Hf 2.12, 1 Tm 2.19
O3 0.4053 0.1276 0.6528  2 Mn 2.04-2.13, 1 Hf 2.07
O4 0.5724 0.9268 0.1820  1 Mn 2.01, 1 Hf 2.14, 1 Tm 2.19
O5 0.8141 0.4069 0.6511  2 Mn 2.04-2.12, 1 Hf 2.07
O6 0.9247 0.3215 0.1814  1 Mn 2.01, 1 Hf 2.13, 1 Tm 2.19

## Properties
- DFT total energy: -8.48 eV per atom
- Total magnetic moment: 7.0 μB per formula unit